# 1
Below is a geometry-optimized SrMnCrP2 structure, with properties calculated at the GGA-PBE level.

Properties
Space group   No. 119
E_form   -0.717 eV/atom
V   89 Å³/cell

Unit cell a=3.8478 b=3.8478 c=6.6069 alpha=106.93 beta=106.93 gamma=90.00
Last column: nearest neighbours and their distance in Å.
Fractional positions:
Sr: 0.0000 0.0000 0.0000  8 P 3.23, 4 Mn 3.57, 4 Cr 3.57
P: 0.3554 0.3554 0.7108  2 Cr 2.30, 2 Mn 2.30
P: 0.6446 0.6446 0.2892  2 Mn 2.30, 2 Cr 2.30
Cr: 0.7500 0.2500 0.5000  4 P 2.30
Mn: 0.2500 0.7500 0.5000  4 P 2.30

***

# 2
Below is a geometry-optimized MnCrTcP structure, with properties calculated at the GGA-PBE level.

Properties
Space group   No. 216
E_form   -0.222 eV/atom
V   49 Å³/cell

Unit cell a=4.1074 b=4.1074 c=4.1074 alpha=60.00 beta=60.00 gamma=60.00
Last column: nearest neighbours and their distance in Å.
Fractional positions:
Mn: 0.2500 0.2500 0.2500  4 Cr 2.52, 4 Tc 2.52
Cr: 0.5000 0.5000 0.5000  4 Mn 2.52, 4 P 2.52
P: 0.7500 0.7500 0.7500  4 Tc 2.52, 4 Cr 2.52
Tc: 0.0000 0.0000 0.0000  4 Mn 2.52, 4 P 2.52

***

# 3
Below is a geometry-optimized ThMnCrP2 structure, with properties calculated at the GGA-PBE level.

Properties
Space group   No. 119
E_form   -0.860 eV/atom
V   82 Å³/cell

Unit cell a=3.8050 b=3.8050 c=6.2403 alpha=107.75 beta=107.75 gamma=90.00
Last column: nearest neighbours and their distance in Å.
Fractional positions:
Th: 0.0000 0.0000 0.0000  8 P 3.09, 4 Mn 3.40, 4 Cr 3.40
Mn: 0.2500 0.7500 0.5000  4 P 2.30
P: 0.6357 0.6357 0.2714  2 Cr 2.30, 2 Mn 2.30
P: 0.3643 0.3643 0.7286  2 Cr 2.30, 2 Mn 2.30
Cr: 0.7500 0.2500 0.5000  4 P 2.30

***

# 4
Below is a geometry-optimized MnVCrP structure, with properties calculated at the GGA-PBE level.

Properties
Space group   No. 216
E_form   -0.354 eV/atom
V   45 Å³/cell

Unit cell a=3.9816 b=3.9816 c=3.9816 alpha=60.00 beta=60.00 gamma=60.00
Last column: nearest neighbours and their distance in Å.
Fractional positions:
P: 0.5000 0.5000 0.5000  4 Cr 2.44, 4 Mn 2.44
Mn: 0.7500 0.7500 0.7500  4 P 2.44, 4 V 2.44
Cr: 0.2500 0.2500 0.2500  4 V 2.44, 4 P 2.44
V: 0.0000 0.0000 0.0000  4 Cr 2.44, 4 Mn 2.44

***

# 5
Below is a geometry-optimized MnV2CrP structure, with properties calculated at the GGA-PBE level.

Properties
Space group   No. 123
E_form   0.679 eV/atom
V   80 Å³/cell

Unit cell a=4.4081 b=4.1407 c=4.4081 alpha=90.00 beta=90.00 gamma=90.00
Last column: nearest neighbours and their distance in Å.
Fractional positions:
Cr: 0.5000 0.5000 0.5000  8 V 3.02, 4 P 3.12
V: 0.5000 0.0000 0.0000  2 Mn 2.20
V: 0.0000 0.0000 0.5000  2 Mn 2.20
Mn: 0.0000 0.0000 0.0000  2 P 2.07, 4 V 2.20
P: 0.0000 0.5000 0.0000  2 Mn 2.07

***

# 6
Below is a geometry-optimized PaMn2Cr structure, with properties calculated at the GGA-PBE level.

Properties
Space group   No. 166
E_form   0.551 eV/atom
V   62 Å³/cell

Unit cell a=2.8798 b=2.8798 c=8.8157 alpha=80.60 beta=80.60 gamma=60.00
Last column: nearest neighbours and their distance in Å.
Fractional positions:
Pa: 0.0000 0.0000 0.0000  2 Mn 2.52
Cr: 0.5000 0.5000 0.5000  6 Mn 2.46
Mn: 0.9030 0.9030 0.2910  3 Cr 2.46, 1 Pa 2.52
Mn: 0.0970 0.0970 0.7090  3 Cr 2.46, 1 Pa 2.52

***

# 7
Below is a geometry-optimized PaMn10Cr2 structure, with properties calculated at the GGA-PBE level.

Properties
Space group   No. 63
E_form   0.016 eV/atom
V   319 Å³/cell

Unit cell a=6.3499 b=6.3499 c=7.9712 alpha=90.00 beta=90.00 gamma=96.80
Last column: nearest neighbours and their distance in Å.
Fractional positions:
Cr: 0.5000 0.0000 0.5000  6 Mn 2.29-2.38
Cr: 0.0000 0.5000 0.0000  6 Mn 2.29-2.38
Cr: 0.0000 0.5000 0.5000  6 Mn 2.29-2.38
Cr: 0.5000 0.0000 0.0000  6 Mn 2.29-2.38
Mn: 0.2275 0.2275 0.0000  6 Mn 2.36-2.56, 2 Cr 2.38
Mn: 0.8784 0.6168 0.7500  2 Cr 2.29, 7 Mn 2.36-2.54
Mn: 0.3974 0.6026 0.0723  2 Mn 2.26-2.53
Mn: 0.2275 0.2275 0.5000  6 Mn 2.36-2.56, 2 Cr 2.38
Mn: 0.8235 0.1765 0.1048  4 Mn 2.32-2.53, 2 Cr 2.37
Mn: 0.5284 0.7386 0.7500  4 Mn 2.25-2.52
Mn: 0.1216 0.3832 0.2500  2 Cr 2.29, 7 Mn 2.36-2.54
Mn: 0.7725 0.7725 0.5000  6 Mn 2.36-2.56, 2 Cr 2.38
Mn: 0.3832 0.1216 0.7500  2 Cr 2.29, 7 Mn 2.36-2.54
Mn: 0.8235 0.1765 0.3952  4 Mn 2.32-2.53, 2 Cr 2.37
Mn: 0.6026 0.3974 0.5723  2 Mn 2.26-2.53
Mn: 0.1765 0.8235 0.6048  4 Mn 2.32-2.53, 2 Cr 2.37
Mn: 0.1765 0.8235 0.8952  4 Mn 2.32-2.53, 2 Cr 2.37
Mn: 0.2614 0.4716 0.7500  4 Mn 2.25-2.52
Mn: 0.7386 0.5284 0.2500  4 Mn 2.25-2.52
Mn: 0.7725 0.7725 0.0000  6 Mn 2.36-2.56, 2 Cr 2.38
Mn: 0.6168 0.8784 0.2500  2 Cr 2.29, 7 Mn 2.36-2.54
Mn: 0.6026 0.3974 0.9277  2 Mn 2.26-2.53
Mn: 0.4716 0.2614 0.2500  4 Mn 2.25-2.52
Mn: 0.3974 0.6026 0.4277  2 Mn 2.26-2.53
Pa: 0.8888 0.1112 0.7500  16 Mn 2.90-3.22, 4 Cr 3.19
Pa: 0.1112 0.8888 0.2500  16 Mn 2.90-3.22, 4 Cr 3.19

***

# 8
Below is a geometry-optimized PaMn2Cr structure, with properties calculated at the GGA-PBE level.

Properties
Space group   No. 123
E_form   0.086 eV/atom
V   58 Å³/cell

Unit cell a=2.8717 b=2.8717 c=7.0620 alpha=90.00 beta=90.00 gamma=90.00
Last column: nearest neighbours and their distance in Å.
Fractional positions:
Cr: 0.5000 0.5000 0.0000  8 Mn 2.45
Mn: 0.0000 0.0000 0.1932  4 Cr 2.45, 1 Mn 2.73
Mn: 0.0000 0.0000 0.8068  4 Cr 2.45, 1 Mn 2.73
Pa: 0.5000 0.5000 0.5000  4 Pa 2.87, 8 Mn 2.97